# 1
Crystalline NbGa2Ru4 at its relaxed geometry. Source: Alexandria, functional PBE. Values from VASP.

Quantum ESPRESSO input file:
```
&SYSTEM
  ibrav = 0, nat = 7, ntyp = 3
/
ATOMIC_SPECIES
Ru 101.07 Ru.upf
Nb 92.91 Nb.upf
Ga 69.72 Ga.upf
CELL_PARAMETERS angstrom
4.6792 0.0000 0.0000
0.0000 4.6792 0.0000
2.3396 2.3396 6.3038
ATOMIC_POSITIONS crystal
Ru 0.1947 0.1947 0.6107
Ru 0.8053 0.8053 0.3893
Ru 0.0000 0.5000 0.0000
Ru 0.5000 0.0000 0.0000
Nb 0.0000 0.0000 0.0000
Ga 0.3879 0.3879 0.2241
Ga 0.6121 0.6121 0.7759
```

Values from the calculation:
**Total moment**: 2.74 μB/cell
**Energy relative to the elements**: 7.614 eV per formula unit
**Space-group type**: No. 139
**DOS(E_F)**: 0.830 states/eV per atom
**Raw total energy**: -45.61 eV per cell

=====

# 2
Crystalline LaNdI2 at its relaxed geometry. Source: Alexandria, functional PBE. Values from VASP.

Quantum ESPRESSO input file:
```
&SYSTEM
  ibrav = 0, nat = 4, ntyp = 3
/
ATOMIC_SPECIES
I 126.90 I.upf
Nd 144.24 Nd.upf
La 138.91 La.upf
CELL_PARAMETERS angstrom
5.5589 0.0000 0.0000
2.7795 4.8142 0.0000
2.7795 1.6047 4.5388
ATOMIC_POSITIONS crystal
I 0.2500 0.2500 0.2500
I 0.7500 0.7500 0.7500
Nd 0.0000 0.0000 0.0000
La 0.5000 0.5000 0.5000
```

Values from the calculation:
**Total moment**: 0.00 μB/cell
**Distance to the lowest polymorph of the same formula**: 0.0730 eV/atom
**Space-group type**: No. 225
**E_form (uncorrected)**: -870.0 meV/atom
**DOS(E_F)**: 0.502 states/eV per atom
**Raw total energy**: -16.28 eV per cell

=====

# 3
Crystalline K2BaHg4 at its relaxed geometry. Source: Alexandria, functional PBE. Values from VASP.

Quantum ESPRESSO input file:
```
&SYSTEM
  ibrav = 0, nat = 14, ntyp = 3
/
ATOMIC_SPECIES
K 39.10 K.upf
Ba 137.33 Ba.upf
Hg 200.59 Hg.upf
CELL_PARAMETERS angstrom
7.1210 -0.1058 -0.7819
-0.1482 6.3310 -2.2064
-0.4790 0.2882 11.0503
ATOMIC_POSITIONS crystal
K 0.1675 0.7786 0.3928
K 0.3325 0.3858 0.6072
K 0.8325 0.2214 0.6072
K 0.6675 0.6142 0.3928
Ba 0.7500 0.2574 0.0000
Ba 0.2500 0.7426 0.0000
Hg 0.7914 0.8090 0.1463
Hg 0.7086 0.6627 0.8537
Hg 0.2086 0.1910 0.8537
Hg 0.2914 0.3373 0.1463
Hg 0.0089 0.2235 0.3027
Hg 0.4911 0.9208 0.6973
Hg 0.9911 0.7765 0.6973
Hg 0.5089 0.0792 0.3027
```

Values from the calculation:
**Total moment**: 0.00 μB/cell
**Energy relative to the elements**: -2.095 eV per formula unit
**Space-group type**: No. 15
**DOS(E_F)**: 0.757 states/eV per atom
**Raw total energy**: -14.84 eV per cell

=====

# 4
Crystalline CrSiI3 at its relaxed geometry. Source: Alexandria, functional PBE. Values from VASP.

Quantum ESPRESSO input file:
```
&SYSTEM
  ibrav = 0, nat = 5, ntyp = 3
/
ATOMIC_SPECIES
I 126.90 I.upf
Cr 52.00 Cr.upf
Si 28.09 Si.upf
CELL_PARAMETERS angstrom
-0.5075 -4.8551 2.5768
-2.2243 -2.1850 -4.5549
5.0263 -1.4572 -1.7556
ATOMIC_POSITIONS crystal
I 0.0000 0.5000 0.0000
I 0.0000 0.0000 0.5000
I 0.5000 0.0000 0.0000
Cr 0.0000 0.0000 0.0000
Si 0.5000 0.5000 0.5000
```

Values from the calculation:
**Total moment**: 5.00 μB/cell
**Distance to the lowest polymorph of the same formula**: 0.0000 eV/atom
**Space-group type**: No. 221
**E_form (uncorrected)**: 454.2 meV/atom
**DOS(E_F)**: 0.563 states/eV per atom
**Raw total energy**: -17.43 eV per cell

=====

# 5
Crystalline PrB6W2 at its relaxed geometry. Source: Alexandria, functional PBE. Values from VASP.

Quantum ESPRESSO input file:
```
&SYSTEM
  ibrav = 0, nat = 9, ntyp = 3
/
ATOMIC_SPECIES
Pr 140.91 Pr.upf
B 10.81 B.upf
W 183.84 W.upf
CELL_PARAMETERS angstrom
3.1472 -0.1304 -0.5122
-0.3123 6.1383 -3.4824
-0.7307 -0.8808 5.6781
ATOMIC_POSITIONS crystal
Pr 0.0000 0.0000 0.0000
B 0.6946 0.4566 0.3893
B 0.3054 0.5434 0.6107
B 0.3054 0.0674 0.6107
B 0.5000 0.6632 0.0000
B 0.5000 0.3368 0.0000
B 0.6946 0.9326 0.3893
W 0.8466 0.3463 0.6925
W 0.1534 0.6537 0.3074
```

Values from the calculation:
**Total moment**: 0.00 μB/cell
**Energy relative to the elements**: -3.764 eV per formula unit
**Space-group type**: No. 71
**DOS(E_F)**: 0.253 states/eV per atom
**Raw total energy**: -74.51 eV per cell

=====

# 6
Crystalline Na3VH7 at its relaxed geometry. Source: Alexandria, functional PBE. Values from VASP.

Quantum ESPRESSO input file:
```
&SYSTEM
  ibrav = 0, nat = 11, ntyp = 3
/
ATOMIC_SPECIES
Na 22.99 Na.upf
V 50.94 V.upf
H 1.01 H.upf
CELL_PARAMETERS angstrom
5.0882 -0.3708 2.1835
-1.5306 4.8666 2.1835
0.1395 0.1763 4.9134
ATOMIC_POSITIONS crystal
Na 0.6899 0.2115 0.5993
Na 0.4410 0.4410 0.1391
Na 0.2115 0.6899 0.5993
V 0.9573 0.9573 0.0406
H 0.2148 0.2148 0.9979
H 0.6982 0.1037 0.1621
H 0.0454 0.2653 0.6784
H 0.1037 0.6982 0.1621
H 0.6471 0.6471 0.3954
H 0.2653 0.0454 0.6784
H 0.8508 0.8508 0.7972
```

Values from the calculation:
**Total moment**: 1.00 μB/cell
**Space-group type**: No. 8
**DOS(E_F)**: 0.022 states/eV per atom
**Raw total energy**: -37.67 eV per cell

=====

# 7
Crystalline Li2La2MgIn5 at its relaxed geometry. Source: Alexandria, functional PBE. Values from VASP.

Quantum ESPRESSO input file:
```
&SYSTEM
  ibrav = 0, nat = 20, ntyp = 4
/
ATOMIC_SPECIES
Li 6.94 Li.upf
La 138.91 La.upf
Mg 24.30 Mg.upf
In 114.82 In.upf
CELL_PARAMETERS angstrom
-3.4120 1.0159 2.7764
-6.7717 -3.0155 -7.2185
0.2301 -9.6199 3.8028
ATOMIC_POSITIONS crystal
Li 0.0000 0.1108 0.6108
Li 0.0000 0.8892 0.3892
Li 0.0000 0.6108 0.8892
Li 0.0000 0.3892 0.1108
La 0.0000 0.6828 0.1828
La 0.0000 0.3172 0.8172
La 0.0000 0.1828 0.3172
La 0.0000 0.8172 0.6828
Mg 0.0000 0.0000 0.0000
Mg 0.0000 0.5000 0.5000
In 0.5000 0.2061 0.0609
In 0.5000 0.7939 0.9391
In 0.5000 0.0609 0.7939
In 0.5000 0.7061 0.4391
In 0.5000 0.9391 0.2061
In 0.5000 0.2939 0.5609
In 0.5000 0.5609 0.7061
In 0.5000 0.4391 0.2939
In 0.5000 0.5000 0.0000
In 0.5000 0.0000 0.5000
```

Values from the calculation:
**Total moment**: 0.00 μB/cell
**Energy relative to the elements**: -4.039 eV per formula unit
**Space-group type**: No. 127
**DOS(E_F)**: 0.295 states/eV per atom
**Raw total energy**: -66.02 eV per cell

=====

# 8
Crystalline SrYSb2 at its relaxed geometry. Source: Alexandria, functional PBE. Values from VASP.

Quantum ESPRESSO input file:
```
&SYSTEM
  ibrav = 0, nat = 4, ntyp = 3
/
ATOMIC_SPECIES
Sb 121.76 Sb.upf
Sr 87.62 Sr.upf
Y 88.91 Y.upf
CELL_PARAMETERS angstrom
-1.0211 -3.1345 -2.9989
1.0962 -4.2530 0.7556
-6.8669 -3.6026 2.7993
ATOMIC_POSITIONS crystal
Sb 0.9918 0.9918 0.0247
Sb 0.5082 0.5082 0.4753
Sr 0.7500 0.7500 0.7500
Y 0.2500 0.2500 0.2500
```

Values from the calculation:
**Total moment**: 0.00 μB/cell
**Distance to the lowest polymorph of the same formula**: 0.0000 eV/atom
**Space-group type**: No. 166
**E_form (uncorrected)**: -961.6 meV/atom
**DOS(E_F)**: 0.642 states/eV per atom
**Raw total energy**: -20.24 eV per cell